(1)
Density functional theory data (PBE) for a geometry-optimized TcNi2Pd structure.

Cell: 6.5819 6.5819 5.3398 Å, 51.95 51.95 90.00°
Closest atoms and distances in Å follow each position.
Element x y z (fractional)
Ni 0.6076 0.1250 0.2500  2 Tc 2.34, 2 Pd 2.50
Ni 0.1424 0.6250 0.2500  2 Tc 2.34, 2 Pd 2.50
Ni 0.3750 0.3924 0.7500  2 Tc 2.34, 2 Pd 2.50
Ni 0.8750 0.8576 0.7500  2 Tc 2.34, 2 Pd 2.50
Tc 0.5000 0.5000 0.0000  4 Ni 2.34, 2 Pd 2.62
Tc 0.2500 0.7500 0.5000  4 Ni 2.34, 2 Pd 2.62
Pd 0.0000 0.0000 0.0000  4 Ni 2.50, 2 Tc 2.62
Pd 0.7500 0.2500 0.5000  4 Ni 2.50, 2 Tc 2.62

Values from the calculation:
**Density**: 9.42 Mg/m³
**Symmetry**: I-42d, No. 122
**Energy above the most stable polymorph in this dataset**: 0.579 eV/atom
**N(E_F)**: 1.496 states/eV per atom

---

(2)
Density functional theory data (PBE) for a geometry-optimized RbCdIn3 structure.

Cell: 6.4823 6.4823 6.4823 Å, 90.00 90.00 90.00°
Closest atoms and distances in Å follow each position.
Element x y z (fractional)
Cd 0.5000 0.5000 0.5000  12 In 4.58
Rb 0.0000 0.0000 0.0000  6 In 3.24
In 0.0000 0.5000 0.0000  2 Rb 3.24
In 0.0000 0.0000 0.5000  2 Rb 3.24
In 0.5000 0.0000 0.0000  2 Rb 3.24

Values from the calculation:
**Density**: 3.31 Mg/m³
**Symmetry**: Pm-3m, No. 221
**Energy above the most stable polymorph in this dataset**: 1.046 eV/atom
**N(E_F)**: 1.975 states/eV per atom

---

(3)
Density functional theory data (PBE) for a geometry-optimized Rb2SrIn structure.

Cell: 12.0440 12.0440 9.1832 Å, 49.02 49.02 90.00°
Closest atoms and distances in Å follow each position.
Element x y z (fractional)
Sr 0.5000 0.5000 0.0000  2 In 3.44
Sr 0.2500 0.7500 0.5000  2 In 3.44
Rb 0.7144 0.1250 0.2500  2 In 3.68, 2 Rb 4.05
Rb 0.0356 0.6250 0.2500  2 In 3.68, 2 Rb 4.05
Rb 0.3750 0.2856 0.7500  2 In 3.68, 2 Rb 4.05
Rb 0.8750 0.9644 0.7500  2 In 3.68, 2 Rb 4.05
In 0.0000 0.0000 0.0000  2 Sr 3.44, 4 Rb 3.68
In 0.7500 0.2500 0.5000  2 Sr 3.44, 4 Rb 3.68

Values from the calculation:
**Density**: 2.49 Mg/m³
**Symmetry**: I-42d, No. 122
**N(E_F)**: 1.585 states/eV per atom

---

(4)
Density functional theory data (PBE) for a geometry-optimized Tb3TlHg structure.

Cell: 5.1788 5.1769 10.8437 Å, 90.00 76.18 90.00°
Closest atoms and distances in Å follow each position.
Element x y z (fractional)
Tb 0.7650 0.2500 0.1182  2 Hg 3.26, 2 Tl 3.28, 4 Tb 3.59
Tb 0.3833 0.2500 0.8818  2 Hg 3.26, 2 Tl 3.29, 4 Tb 3.59
Tb 0.5743 0.2500 0.4997  4 Tl 3.27, 4 Hg 3.29-3.30
Tb 0.2651 0.7500 0.1182  2 Hg 3.26, 2 Tl 3.29, 4 Tb 3.59
Tb 0.8833 0.7500 0.8818  2 Hg 3.26, 2 Tl 3.28, 4 Tb 3.59
Tb 0.0740 0.7500 0.5003  4 Tl 3.27, 4 Hg 3.29-3.30
Tl 0.6690 0.7500 0.3103  8 Tb 3.27-3.29
Tl 0.9793 0.2500 0.6897  8 Tb 3.27-3.29
Hg 0.4774 0.7500 0.6936  8 Tb 3.26-3.30
Hg 0.1710 0.2500 0.3064  8 Tb 3.26-3.30

Values from the calculation:
**Density**: 10.37 Mg/m³
**Symmetry**: Cmcm, No. 63
**Energy above the most stable polymorph in this dataset**: 0.000 eV/atom
**N(E_F)**: 1.219 states/eV per atom

---

(5)
Density functional theory data (PBE) for a geometry-optimized NaBeHI2 structure.

Cell: 5.3404 5.5946 5.3404 Å, 90.00 90.00 90.00°
Closest atoms and distances in Å follow each position.
Element x y z (fractional)
I 0.0000 0.0000 0.5000  2 Be 2.67
I 0.5000 0.0000 0.0000  2 Be 2.67
Na 0.0000 0.5000 0.0000  2 Be 2.80
H 0.5000 0.5000 0.5000  4 Na 3.78, 8 I 3.87
Be 0.0000 0.0000 0.0000  4 I 2.67, 2 Na 2.80

Values from the calculation:
**Density**: 2.98 Mg/m³
**Symmetry**: P4/mmm, No. 123
**Energy above the most stable polymorph in this dataset**: 0.000 eV/atom
**N(E_F)**: 0.321 states/eV per atom

---

(6)
Density functional theory data (PBE) for a geometry-optimized Dy3Ho2Er6In structure.

Cell: 6.0416 6.0416 11.5508 Å, 95.04 95.04 120.01°
Closest atoms and distances in Å follow each position.
Element x y z (fractional)
Dy 0.1668 0.8332 0.5000  6 Dy 3.49, 6 Er 3.50-3.53
Dy 0.8332 0.1668 0.5000  6 Dy 3.49, 6 Er 3.50-3.53
Dy 0.5000 0.5000 0.5000  6 Dy 3.49, 6 Er 3.51-3.52
Ho 0.3339 0.6661 0.0000  6 Er 3.46-3.47, 3 Ho 3.48-3.49, 3 In 3.48-3.49
Ho 0.6661 0.3339 0.0000  6 Er 3.46-3.47, 3 Ho 3.48-3.49, 3 In 3.48-3.49
Er 0.9186 0.5894 0.7535  1 In 3.43, 6 Er 3.45-3.51, 2 Ho 3.46, 3 Dy 3.51-3.53
Er 0.7522 0.7522 0.2478  6 Er 3.45-3.51, 1 In 3.46, 2 Ho 3.47, 3 Dy 3.50-3.52
Er 0.0814 0.4106 0.2465  1 In 3.43, 6 Er 3.45-3.51, 2 Ho 3.46, 3 Dy 3.51-3.53
Er 0.5894 0.9186 0.7535  1 In 3.43, 6 Er 3.45-3.51, 2 Ho 3.46, 3 Dy 3.51-3.53
Er 0.2478 0.2478 0.7522  6 Er 3.45-3.51, 1 In 3.46, 2 Ho 3.47, 3 Dy 3.50-3.52
Er 0.4106 0.0814 0.2465  1 In 3.43, 6 Er 3.45-3.51, 2 Ho 3.46, 3 Dy 3.51-3.53
In 0.0000 0.0000 0.0000  6 Er 3.43-3.46, 6 Ho 3.48-3.49

Values from the calculation:
**Density**: 8.94 Mg/m³
**Symmetry**: C2/m, No. 12
**N(E_F)**: 1.392 states/eV per atom

---

(7)
Density functional theory data (PBE) for a geometry-optimized LiLaBe2H6 structure.

Cell: 4.4073 4.4073 5.8131 Å, 67.72 67.72 60.00°
Closest atoms and distances in Å follow each position.
Element x y z (fractional)
Li 0.5000 0.5000 0.5000  6 H 1.93
La 0.0000 0.0000 0.0000  12 H 2.49
Be 0.7792 0.7792 0.6623  3 H 1.42
Be 0.2208 0.2208 0.3377  3 H 1.42
H 0.0761 0.5724 0.7792  1 Be 1.42
H 0.5724 0.0761 0.7792  1 Be 1.42
H 0.4276 0.4276 0.2208  1 Be 1.42
H 0.9239 0.4276 0.2208  1 Be 1.42
H 0.4276 0.9239 0.2208  1 Be 1.42
H 0.5724 0.5724 0.7792  1 Be 1.42

Values from the calculation:
**Density**: 3.21 Mg/m³
**Symmetry**: R-3m, No. 166
**N(E_F)**: 0.043 states/eV per atom

---

(8)
Density functional theory data (PBE) for a geometry-optimized K2AgSnH6 structure.

Cell: 5.7800 5.7800 5.8052 Å, 60.09 60.09 89.95°
Closest atoms and distances in Å follow each position.
Element x y z (fractional)
K 0.7499 0.2501 0.5000  12 H 2.89-2.90
K 0.2501 0.7499 0.5000  12 H 2.89-2.90
Ag 0.5000 0.5000 0.0000  6 H 2.02-2.04
Sn 0.0000 0.0000 0.0000  6 H 2.07
H 0.2514 0.2514 0.4962  1 Ag 2.04, 1 Sn 2.07
H 0.7475 0.7474 0.9994  1 Ag 2.02, 1 Sn 2.07
H 0.2531 0.7469 0.0000  1 Ag 2.02, 1 Sn 2.07
H 0.7469 0.2531 0.0000  1 Ag 2.02, 1 Sn 2.07
H 0.2525 0.2526 0.0006  1 Ag 2.02, 1 Sn 2.07
H 0.7486 0.7486 0.5038  1 Ag 2.04, 1 Sn 2.07

Values from the calculation:
**Density**: 3.75 Mg/m³
**Symmetry**: Fmmm, No. 69
**N(E_F)**: 0.037 states/eV per atom

---

(9)
Density functional theory data (PBE) for a geometry-optimized LaCu2Br structure.

Cell: 4.1983 4.1983 5.0282 Å, 90.00 90.00 90.00°
Closest atoms and distances in Å follow each position.
Element x y z (fractional)
Br 0.0000 0.5000 0.5000  4 La 2.97, 8 Cu 3.28
Cu 0.0000 0.0000 0.0000  4 Cu 2.97, 4 Br 3.28, 4 La 3.28
Cu 0.5000 0.5000 0.0000  4 Cu 2.97, 4 La 3.28, 4 Br 3.28
La 0.5000 0.0000 0.5000  4 Br 2.97, 8 Cu 3.28

Values from the calculation:
**Density**: 6.48 Mg/m³
**Symmetry**: P4/mmm, No. 123
**Energy above the most stable polymorph in this dataset**: 0.256 eV/atom
**N(E_F)**: 0.434 states/eV per atom

---

(10)
Density functional theory data (PBE) for a geometry-optimized CeCoTcAs2 structure.

Cell: 4.0825 4.0825 6.0618 Å, 109.68 109.68 90.00°
Closest atoms and distances in Å follow each position.
Element x y z (fractional)
Ce 0.0000 0.0000 0.0000  8 As 3.21, 4 Co 3.36, 4 Tc 3.36
Co 0.2500 0.7500 0.5000  4 As 2.40
Tc 0.7500 0.2500 0.5000  4 As 2.40
As 0.6315 0.6315 0.2630  2 Tc 2.40, 2 Co 2.40
As 0.3685 0.3685 0.7370  2 Tc 2.40, 2 Co 2.40

Values from the calculation:
**Density**: 8.35 Mg/m³
**Symmetry**: I-4m2, No. 119
**N(E_F)**: 1.115 states/eV per atom

---

(11)
Density functional theory data (PBE) for a geometry-optimized TbAgPb2 structure.

Cell: 4.5020 4.7897 4.7897 Å, 90.00 90.00 90.00°
Closest atoms and distances in Å follow each position.
Element x y z (fractional)
Pb 0.0000 0.0000 0.5000  4 Tb 3.29, 4 Ag 3.29, 4 Pb 3.39
Pb 0.0000 0.5000 0.0000  4 Tb 3.29, 4 Ag 3.29, 4 Pb 3.39
Tb 0.5000 0.5000 0.5000  8 Pb 3.29, 4 Ag 3.39
Ag 0.5000 0.0000 0.0000  8 Pb 3.29, 4 Tb 3.39

Values from the calculation:
**Density**: 10.95 Mg/m³
**Symmetry**: P4/mmm, No. 123
**N(E_F)**: 0.258 states/eV per atom

---

(12)
Density functional theory data (PBE) for a geometry-optimized BaCdIn2Au2 structure.

Cell: 4.8314 4.8314 7.9174 Å, 90.00 90.00 120.00°
Closest atoms and distances in Å follow each position.
Element x y z (fractional)
Ba 0.0000 0.0000 0.0000  6 In 3.68, 6 Au 3.71, 2 Cd 3.96
Cd 0.0000 0.0000 0.5000  6 Au 3.18, 6 In 3.19
In 0.6667 0.3333 0.6965  4 Au 2.79-3.07
In 0.3333 0.6667 0.3035  4 Au 2.79-3.07
Au 0.6667 0.3333 0.3083  4 In 2.79-3.07
Au 0.3333 0.6667 0.6917  4 In 2.79-3.07

Values from the calculation:
**Density**: 9.06 Mg/m³
**Symmetry**: P-3m1, No. 164
**N(E_F)**: 0.651 states/eV per atom

---

What are the energy values for these records? In order: -6.219; -1.071; -1.430; -3.627; -1.880; -4.463; -3.733; -2.909; -3.938; -7.179; -4.022; -2.900 eV per atom.